Compound: ZnCrO2F
Source: the Alexandria database
Functional: PBE+U
Structure: optimized geometry

As for the theoretical density: 4.866 g cm⁻³. For the total energy, the calculation gives -27.30 eV for the cell shown. The size of the total moment comes out at 2.923 Bohr magnetons per cell.

Cell: 3.8975 3.8975 3.7828 Å, 90.00 90.00 90.00°
Last column: nearest neighbours and their distance in Å.
Fractional coordinates of all 5 atoms:
Zn: 0.0000 0.0000 0.0000  8 O 2.72, 4 F 2.76
Cr: 0.5000 0.5000 0.5000  2 F 1.89, 4 O 1.95
O: 0.0000 0.5000 0.5000  2 Cr 1.95
O: 0.5000 0.0000 0.5000  2 Cr 1.95
F: 0.5000 0.5000 0.0000  2 Cr 1.89